Record 1
Entry from Alexandria: a relaxed Cd2Pd5Au4 crystal (GGA-PBE).

The structure belongs to space group C2/m (No. 12); the cell edges are 21.9744, 2.8925 and 6.4221 Å and the angles 90.00°, 98.15° and 90.00°. The inequivalent atoms are Cd at (0.1041, 0.0000, 0.1459), Pd at (0.0000, 0.5000, 0.0000), Pd at (0.1972, 0.0000, 0.8960), Pd at (0.2251, 0.0000, 0.3245), Au at (0.0457, 0.0000, 0.6861) and Au at (0.1419, 0.5000, 0.5373).

For the calculated formation energy, the calculation gives -48.9 kJ/mol of formula units. For the density of states at the Fermi level, the calculation gives 16.50 states/eV per cell. Its crystal system is monoclinic.

Record 2
Entry from Alexandria: a relaxed Be3OsSe crystal (GGA-PBE).

The structure belongs to space group Pm-3m (No. 221); the cell edges are 4.1191, 4.1191 and 4.1191 Å and the angles 90.00°, 90.00° and 90.00°. The inequivalent atoms are Be at (0.0000, 0.0000, 0.5000), Os at (0.5000, 0.5000, 0.5000) and Se at (0.0000, 0.0000, 0.0000).

For the density of states at the Fermi level, the calculation gives 1.93 states/eV per cell. The raw total energy comes out at -19.5 eV/cell. Its crystal system is cubic.

no.,total moment (μB per cell)
1,0.00
2,0.05